Material: ThB4Rh12
Method: DFT, PBE
State: relaxed

The space group is Im-3 (No. 204) and the conventional cell measures 7.822, 7.822 and 7.822 Å, with angles of 90.00, 90.00 and 90.00 degrees. The asymmetric unit holds Th at (0.000, 0.000, 0.000), B at (0.250, 0.250, 0.250) and Rh at (0.000, 0.323, 0.174).

The value obtained for the formation energy is -0.152 eV/atom. Its crystal system is cubic. The calculation puts the size of the total moment at 0.00 μB/f.u. The density of states at the Fermi level comes out at 1.6349 states/eV/atom.